(1)
MnFeAu2 | PBE | optimized geometry

The structure in CIF format:
```
data_MnFeAu2
_chemical_formula_sum 'Mn3 Fe3 Au6'
_cell_length_a 2.9237
_cell_length_b 2.9237
_cell_length_c 26.1901
_cell_angle_alpha 90.00
_cell_angle_beta 90.00
_cell_angle_gamma 120.00
_space_group_name_H-M_alt 'R -3 m'
_space_group_IT_number 166
_space_group_name_Hall '-R 3 2"'
loop_
_atom_site_label
_atom_site_type_symbol
_atom_site_fract_x
_atom_site_fract_y
_atom_site_fract_z
Mn1 Mn 0.0000 0.0000 0.0000
Fe1 Fe 0.0000 0.0000 0.5000
Au1 Au 0.0000 0.0000 0.2496
```

Energy of formation: 0.229 eV/atom


(2)
TiCu2AgAs | PBE | optimized geometry

The structure in CIF format:
```
data_TiCu2AgAs
_chemical_formula_sum 'Ti1 Cu2 Ag1 As1'
_cell_length_a 4.6004
_cell_length_b 4.6004
_cell_length_c 4.9445
_cell_angle_alpha 90.00
_cell_angle_beta 90.00
_cell_angle_gamma 90.00
_space_group_name_H-M_alt 'P 4/m m m'
_space_group_IT_number 123
_space_group_name_Hall '-P 4 2'
loop_
_atom_site_label
_atom_site_type_symbol
_atom_site_fract_x
_atom_site_fract_y
_atom_site_fract_z
Ti1 Ti 0.0000 0.0000 0.0000
Cu1 Cu 0.0000 0.5000 0.5000
Ag1 Ag 0.0000 0.0000 0.5000
As1 As 0.5000 0.5000 0.0000
```

Energy of formation: 0.950 eV/atom


(3)
Ti3CrTe | PBE | optimized geometry

The structure in CIF format:
```
data_Ti3CrTe
_chemical_formula_sum 'Ti3 Cr1 Te1'
_cell_length_a 4.5574
_cell_length_b 4.5574
_cell_length_c 4.5574
_cell_angle_alpha 90.00
_cell_angle_beta 90.00
_cell_angle_gamma 90.00
_space_group_name_H-M_alt 'P m -3 m'
_space_group_IT_number 221
_space_group_name_Hall '-P 4 2 3'
loop_
_atom_site_label
_atom_site_type_symbol
_atom_site_fract_x
_atom_site_fract_y
_atom_site_fract_z
Ti1 Ti 0.0000 0.0000 0.5000
Cr1 Cr 0.0000 0.0000 0.0000
Te1 Te 0.5000 0.5000 0.5000
```

Excess energy over the best structure of this formula in the dataset: 0 meV/atom


(4)
Ce6As3H | PBE | optimized geometry

The structure in CIF format:
```
data_Ce6As3H
_chemical_formula_sum 'Ce12 As6 H2'
_cell_length_a 5.9368
_cell_length_b 7.9890
_cell_length_c 11.3995
_cell_angle_alpha 90.00
_cell_angle_beta 118.51
_cell_angle_gamma 90.00
_space_group_name_H-M_alt 'P 1 21/c 1'
_space_group_IT_number 14
loop_
_space_group_symop_operation_xyz
'x,y,z'
'-x,-y,-z'
'-x,y+1/2,-z+1/2'
'x,-y+1/2,z+1/2'
loop_
_atom_site_label
_atom_site_type_symbol
_atom_site_fract_x
_atom_site_fract_y
_atom_site_fract_z
Ce1 Ce 0.0438 0.1848 0.4492
Ce2 Ce 0.3051 0.6657 0.4509
Ce3 Ce 0.3506 0.0245 0.2254
As1 As 0.1571 0.1220 0.7520
As2 As 0.5000 0.0000 0.5000
H1 H 0.0000 0.0000 0.0000
```


(5)
Na4LiSn3S8 | PBE | optimized geometry

The structure in CIF format:
```
data_Na4LiSn3S8
_chemical_formula_sum 'Na12 Li3 Sn9 S24'
_cell_length_a 7.6299
_cell_length_b 7.6299
_cell_length_c 20.1330
_cell_angle_alpha 90.00
_cell_angle_beta 90.00
_cell_angle_gamma 120.00
_space_group_name_H-M_alt 'R -3 m'
_space_group_IT_number 166
_space_group_name_Hall '-R 3 2"'
loop_
_atom_site_label
_atom_site_type_symbol
_atom_site_fract_x
_atom_site_fract_y
_atom_site_fract_z
Na1 Na 0.0000 0.0000 0.0000
Na2 Na 0.0000 0.5000 0.0000
Li1 Li 0.0000 0.0000 0.5000
Sn1 Sn 0.0000 0.5000 0.5000
S1 S 0.0000 0.0000 0.2430
S2 S 0.0038 0.5019 0.7615
```


(6)
Mg5ScTl6 | PBE | optimized geometry

The structure in CIF format:
```
data_Mg5ScTl6
_chemical_formula_sum 'Mg10 Sc2 Tl12'
_cell_length_a 9.2419
_cell_length_b 15.1135
_cell_length_c 4.9476
_cell_angle_alpha 90.00
_cell_angle_beta 122.12
_cell_angle_gamma 90.00
_space_group_name_H-M_alt 'C 1 2/m 1'
_space_group_IT_number 12
loop_
_space_group_symop_operation_xyz
'x,y,z'
'-x,-y,-z'
'-x,y,-z'
'x,-y,z'
'x+1/2,y+1/2,z'
'-x+1/2,-y+1/2,-z'
'-x+1/2,y+1/2,-z'
'x+1/2,-y+1/2,z'
loop_
_atom_site_label
_atom_site_type_symbol
_atom_site_fract_x
_atom_site_fract_y
_atom_site_fract_z
Mg1 Mg 0.0000 0.0000 0.0000
Mg2 Mg 0.0000 0.1669 0.5000
Mg3 Mg 0.0000 0.3322 0.0000
Sc1 Sc 0.0000 0.5000 0.5000
Tl1 Tl 0.2492 0.3328 0.7497
Tl2 Tl 0.2505 0.0000 0.7526
```

Energy of formation: -0.072 eV/atom


Number 1: uncorrected energy -5.8178 eV per atom, total magnetization 7.00 μB per formula unit, D(E_F) 0.838 states/eV per atom. Number 2: uncorrected energy -3.7675 eV per atom, total magnetization 0.00 μB per formula unit, D(E_F) 1.158 states/eV per atom. Number 3: uncorrected energy -6.9519 eV per atom, total magnetization 0.00 μB per formula unit, D(E_F) 2.477 states/eV per atom. Number 4: uncorrected energy -6.0567 eV per atom, total magnetization 5.12 μB per formula unit, D(E_F) 2.892 states/eV per atom. Number 5: uncorrected energy -4.0641 eV per atom, total magnetization 0.00 μB per formula unit, D(E_F) 0.156 states/eV per atom. Number 6: uncorrected energy -2.4475 eV per atom, total magnetization 0.00 μB per formula unit, D(E_F) 0.435 states/eV per atom.